Entry from Alexandria: a geometry-optimized TlFe3Ge structure (PBE).

Cell: 4.8609 4.8609 4.8609 Å, 90.00 90.00 90.00°
Last column: magnetic moment on the atom in μB.
Sites, in units of the cell vectors:
1 Tl 0.0000 0.0000 0.0000  -0.10
2 Ge 0.5000 0.5000 0.5000  -0.14
3 Fe 0.0000 0.5000 0.0000  2.86
4 Fe 0.0000 0.0000 0.5000  3.28
5 Fe 0.5000 0.0000 0.0000  2.68

As for the space group: Pm-3m. Its crystal system is cubic. The calculation puts the formation energy at 1.67 eV per atom. The value obtained for the excess energy over the best structure of this formula in the dataset is 4.37 eV per formula unit.